A relaxed ScCoPb crystal. Source: the Alexandria database, functional PBE-GGA.

Geometry as CIF:
```
data_ScCoPb
_chemical_formula_sum 'Sc2 Co2 Pb2'
_space_group_name_H-M_alt 'I 4 m m'
_space_group_IT_number 107
_space_group_name_Hall 'I 4 -2'
_cell_length_a 3.216
_cell_length_b 3.216
_cell_length_c 11.124
_cell_angle_alpha 90.00
_cell_angle_beta 90.00
_cell_angle_gamma 90.00
loop_
_atom_site_label
_atom_site_fract_x
_atom_site_fract_y
_atom_site_fract_z
Sc1 0.000 0.000 0.000
Co1 0.000 0.000 0.371
Pb1 0.000 0.000 0.716
```

Summary:
E (eV per atom): -5.770